The following is a PBE calculation of a relaxed structure of Al23B50, from Alexandria.

Values from the calculation:
E	-423.85	eV for the cell shown
density of states at the Fermi level	8.254	states/eV/cell
crystal system	triclinic
formation energy from the elements	-0.053	eV per atom

abc: 6.2618 10.1316 10.1391
angles: 94.79 94.87 97.31
Closest atoms and distances in Å follow each position.
Positions (direct):
Al 0.8433 0.5266 0.6054  12 B 2.29-2.45
Al 0.7697 0.2789 0.3943  12 B 2.27-2.49
Al 0.4414 0.3203 0.5993  12 B 2.32-2.43
Al 0.6947 0.0456 0.1991  12 B 2.27-2.51
Al 0.3544 0.0830 0.3951  12 B 2.29-2.48
Al 0.6112 0.7993 0.9948  12 B 2.27-2.50
Al 0.0396 0.1192 0.5994  12 B 2.33-2.43
Al 0.2804 0.8414 0.1986  12 B 2.30-2.43
Al 0.5342 0.5657 0.8013  12 B 2.28-2.51
Al 0.9604 0.8808 0.4006  12 B 2.33-2.43
Al 0.1926 0.6028 0.9958  12 B 2.29-2.49
Al 0.8797 0.6382 0.1983  12 B 2.32-2.43
Al 0.6456 0.9170 0.6049  12 B 2.29-2.48
Al 0.1203 0.3618 0.8017  12 B 2.32-2.43
Al 0.8074 0.3972 0.0042  12 B 2.29-2.49
Al 0.5586 0.6797 0.4007  12 B 2.32-2.43
Al 0.7196 0.1586 0.8014  12 B 2.30-2.43
Al 0.4658 0.4343 0.1987  12 B 2.28-2.51
Al 0.2303 0.7211 0.6057  12 B 2.27-2.49
Al 0.3888 0.2007 0.0052  12 B 2.27-2.50
Al 0.1567 0.4734 0.3946  12 B 2.29-2.45
Al 0.3053 0.9544 0.8009  12 B 2.27-2.51
Al 0.0000 0.0000 0.0000  12 B 2.34-2.45
B 0.2214 0.4924 0.6335  3 B 1.73-1.74
B 0.1382 0.5863 0.7660  3 B 1.74
B 0.3797 0.3069 0.3670  3 B 1.73-1.74
B 0.0602 0.3458 0.5681  3 B 1.73-1.74
B 0.1399 0.2532 0.4333  3 B 1.73-1.74
B 0.2987 0.0664 0.1663  3 B 1.73-1.74
B 0.3825 0.9725 0.0344  3 B 1.73-1.74
B 0.8196 0.2932 0.6331  3 B 1.73-1.74
B 0.7402 0.3845 0.7683  3 B 1.73-1.74
B 0.9796 0.1071 0.3657  3 B 1.73-1.75
B 0.0602 0.0139 0.2327  3 B 1.73-1.74
B 0.2187 0.8267 0.9669  3 B 1.73-1.74
B 0.2979 0.7334 0.8330  3 B 1.73-1.75
B 0.7409 0.0523 0.4341  3 B 1.73-1.75
B 0.6599 0.1461 0.5666  3 B 1.73-1.74
B 0.9020 0.8649 0.1693  3 B 1.73-1.74
B 0.9795 0.7734 0.0334  3 B 1.73-1.74
B 0.4209 0.0936 0.6328  3 B 1.73
B 0.3399 0.1864 0.7666  3 B 1.73-1.74
B 0.6601 0.8136 0.2334  3 B 1.73-1.74
B 0.5791 0.9064 0.3672  3 B 1.73
B 0.8203 0.6264 0.9665  3 B 1.73-1.75
B 0.8996 0.5331 0.8333  3 B 1.73-1.74
B 0.3401 0.8539 0.4334  3 B 1.73-1.74
B 0.2591 0.9477 0.5659  3 B 1.73-1.75
B 0.5810 0.5724 0.0343  3 B 1.73-1.75
B 0.4998 0.6669 0.1661  3 B 1.73-1.74
B 0.9398 0.9861 0.7673  3 B 1.73-1.74
B 0.2598 0.6155 0.2317  3 B 1.73-1.74
B 0.1804 0.7068 0.3669  3 B 1.73-1.74
B 0.0204 0.8929 0.6343  3 B 1.73-1.75
B 0.5002 0.3331 0.8339  3 B 1.73-1.74
B 0.4190 0.4276 0.9657  3 B 1.73-1.75
B 0.1797 0.3736 0.0335  3 B 1.73-1.75
B 0.1004 0.4669 0.1667  3 B 1.73-1.74
B 0.8601 0.7468 0.5667  3 B 1.73-1.74
B 0.9398 0.6542 0.4319  3 B 1.73-1.74
B 0.0205 0.2266 0.9666  3 B 1.73-1.74
B 0.6203 0.6931 0.6330  3 B 1.73-1.74
B 0.5411 0.7863 0.7673  3 B 1.73-1.75
B 0.0980 0.1351 0.8308  3 B 1.73-1.74
B 0.7786 0.5076 0.3665  3 B 1.73-1.74
B 0.8618 0.4137 0.2340  3 B 1.74
B 0.5421 0.4535 0.4338  3 B 1.73-1.74
B 0.4579 0.5465 0.5662  3 B 1.73-1.74
B 0.7813 0.1733 0.0331  3 B 1.73-1.74
B 0.7021 0.2666 0.1670  3 B 1.73-1.75
B 0.6175 0.0275 0.9656  3 B 1.73-1.74
B 0.4589 0.2137 0.2327  3 B 1.73-1.75
B 0.7013 0.9336 0.8337  3 B 1.73-1.74

The following is a PBE calculation of a relaxed structure of ErSb2Au, from Alexandria.

Values from the calculation:
formation energy (no corrections)	-0.52	eV/atom
E	-18.16	eV for the cell shown
density of states at the Fermi level	1.704	states/eV/cell
crystal system	tetragonal

abc: 4.1909 4.7621 4.7621
angles: 90.00 90.00 90.00
Closest atoms and distances in Å follow each position.
Positions (direct):
Sb 0.0000 0.0000 0.5000  4 Er 3.17, 4 Au 3.17, 4 Sb 3.37
Sb 0.0000 0.5000 0.0000  4 Er 3.17, 4 Au 3.17, 4 Sb 3.37
Au 0.5000 0.5000 0.5000  8 Sb 3.17, 4 Er 3.37
Er 0.5000 0.0000 0.0000  8 Sb 3.17, 4 Au 3.37

Q: What is the formula in the second record?
A: ErSb2Au